Density functional theory data (GGA-PBE) for a geometry-optimized Tl6CdHg2 structure.

## Properties
Its total DFT energy (no corrections) is -1.719 eV/atom. The value obtained for the total magnetic moment is 0.0 μB/f.u. For the energy above the most stable polymorph in this dataset, the calculation gives 18 meV/atom. As for the energy relative to the elements: 0.03 eV/atom.

Cell: 3.4314 3.4314 25.9181 Å, 90.00 90.00 120.00°
Space group P-6m2 (No. 187)
Asymmetric unit:
Tl1 0.0000 0.0000 0.0637
Tl2 0.0000 0.0000 0.2813
Tl3 0.3333 0.6667 0.3968
Cd1 0.0000 0.0000 0.5000
Hg1 0.3333 0.6667 0.1726